Here is a geometry-optimized ZrNb2CdBi structure from Alexandria via LeMat-Bulk. Energies are from PBE.

As for the calculated formation energy: 1.29 eV/atom. Its total energy is -5.41 eV/atom.

Cell: 5.043 5.043 5.544 Å, 90.00 90.00 90.00°
Space group P4/mmm (No. 123)
Symmetry-distinct sites (fractional):
Zr (0.000, 0.000, 0.000)
Nb (0.000, 0.500, 0.000)
Cd (0.500, 0.500, 0.500)
Bi (0.000, 0.000, 0.500)

Here is a geometry-optimized CsGeAsO6 structure from Alexandria via LeMat-Bulk. Energies are from PBE.

The value obtained for the raw formation energy is -1.1040 eV per atom. Its total energy is -5.53 eV/atom.

Cell: 5.0067 5.0067 6.9676 Å, 90.00 90.00 120.00°
Space group P312 (No. 149)
Symmetry-distinct sites (fractional):
Cs (0.0000, 0.0000, 0.0000)
Ge (0.6667, 0.3333, 0.5000)
As (0.3333, 0.6667, 0.5000)
O (0.0108, 0.3797, 0.6505)

- Which formula does entry 1 have?
  ZrNb2CdBi